DFT (GGA+U) results for an optimized crystal structure of Ti2MnZnO6.

Summary:
Calculated total energy (eV/atom): -7.88
Calculated volume (Å³/f.u.): 110

a = 5.160 Å, b = 5.160 Å, c = 5.614 Å
α = 62.64°, β = 62.64°, γ = 60.00°
Positions (direct):
O 0.958 0.562 0.267
O 0.213 0.958 0.267
O 0.435 0.776 0.735
O 0.562 0.213 0.267
O 0.054 0.435 0.735
O 0.776 0.054 0.735
Ti 0.146 0.146 0.562
Ti 0.854 0.854 0.438
Mn 0.641 0.641 0.076
Zn 0.361 0.361 0.916